1.
A plane-wave DFT calculation with PBE was carried out for a geometry-optimized PrErGaAu structure.

Computed properties:
Total magnetic moment: 0.0 μB/f.u.
E_form: -0.6797 eV/atom
SG: Amm2 (38)
Calculated density: 9.5 Mg/m³
Calculated volume: 100.6 Å³/f.u.
Distance to the lowest polymorph of the same formula: 0.0 meV/atom

a b c (Å): 3.846 4.545 6.070
angles (deg): 90.00 108.47 90.00
Positions (direct):
Au  0.582  0.500  0.164
Ga  0.427  0.000  0.853
Er  0.138  0.000  0.276
Pr  0.853  0.500  0.706


2.
A plane-wave DFT calculation with PBE was carried out for a geometry-optimized TaSbCl structure.

Computed properties:
Energy relative to the elements, uncorrected: 0.857 eV per atom
Total magnetic moment: 1.0 μB/f.u.
SG: F-43m (216)
Calculated density: 7.2 Mg/m³
Calculated volume: 78.2 Å³/f.u.
Distance to the lowest polymorph of the same formula: 1284.0 meV/atom

a b c (Å): 4.800 4.800 4.800
angles (deg): 60.00 60.00 60.00
Positions (direct):
Ta  0.000  0.000  0.000
Cl  0.500  0.500  0.500
Sb  0.250  0.250  0.250


3.
A plane-wave DFT calculation with PBE was carried out for a geometry-optimized Rb2CoGeAu structure.

Computed properties:
Total magnetic moment: 2.2 μB/f.u.
E_form: 0.6336 eV/atom
SG: P4/mmm (123)
Calculated density: 3.8 Mg/m³
Calculated volume: 217.8 Å³/f.u.

a b c (Å): 6.788 4.728 6.788
angles (deg): 90.00 90.00 90.00
Positions (direct):
Rb  0.500  0.000  0.000
Rb  0.000  0.000  0.500
Co  0.500  0.500  0.500
Au  0.000  0.000  0.000
Ge  0.000  0.500  0.000


4.
A plane-wave DFT calculation with PBE was carried out for a geometry-optimized LiCdPdF6 structure.

Computed properties:
Energy relative to the elements, uncorrected: -1.929 eV per atom
Total magnetic moment: 1.0 μB/f.u.
SG: P4_2nm (102)
Calculated density: 4.6 Mg/m³
Calculated volume: 121.5 Å³/f.u.

a b c (Å): 4.885 4.885 10.187
angles (deg): 90.00 90.00 90.00
Positions (direct):
Li  0.000  0.000  0.009
Li  0.500  0.500  0.509
F  0.683  0.683  0.668
F  0.704  0.704  0.990
F  0.785  0.215  0.839
F  0.204  0.796  0.490
F  0.296  0.296  0.990
F  0.285  0.285  0.339
F  0.183  0.817  0.168
F  0.817  0.183  0.168
F  0.215  0.785  0.839
F  0.715  0.715  0.339
F  0.796  0.204  0.490
F  0.317  0.317  0.668
Cd  0.500  0.500  0.164
Cd  0.000  0.000  0.664
Pd  0.000  0.000  0.335
Pd  0.500  0.500  0.835


5.
A plane-wave DFT calculation with PBE was carried out for a geometry-optimized GaWC3 structure.

Computed properties:
Total magnetic moment: 0.0 μB/f.u.
E_form: 2.8457 eV/atom
SG: Pm-3m (221)
Calculated density: 8.5 Mg/m³
Calculated volume: 56.5 Å³/f.u.
Distance to the lowest polymorph of the same formula: 1097.6 meV/atom

a b c (Å): 3.837 3.837 3.837
angles (deg): 90.00 90.00 90.00
Positions (direct):
C  0.000  0.500  0.000
C  0.500  0.000  0.000
C  0.000  0.000  0.500
W  0.500  0.500  0.500
Ga  0.000  0.000  0.000


6.
A plane-wave DFT calculation with PBE was carried out for a geometry-optimized Li3Pr5Se8 structure.

Computed properties:
Energy relative to the elements, uncorrected: -1.707 eV per atom
Total magnetic moment: 0.0 μB/f.u.
SG: R-3m (166)
Calculated density: 5.4 Mg/m³
Calculated volume: 416.7 Å³/f.u.

a b c (Å): 8.430 8.430 8.339
angles (deg): 59.64 59.64 60.00
Positions (direct):
Pr  0.500  0.500  0.500
Pr  0.000  0.000  0.000
Pr  0.500  0.000  0.000
Pr  0.500  0.500  0.000
Pr  0.000  0.500  0.000
Se  0.250  0.250  0.739
Se  0.760  0.250  0.739
Se  0.750  0.240  0.261
Se  0.750  0.750  0.261
Se  0.753  0.753  0.740
Se  0.247  0.247  0.260
Se  0.250  0.760  0.739
Se  0.240  0.750  0.261
Li  0.000  0.000  0.500
Li  0.000  0.500  0.500
Li  0.500  0.000  0.500


7.
A plane-wave DFT calculation with PBE was carried out for a geometry-optimized CeLuPu2 structure.

Computed properties:
Total magnetic moment: 14.0 μB/f.u.
E_form: 0.2013 eV/atom
SG: Fm-3m (225)
Calculated density: 12.0 Mg/m³
Calculated volume: 111.0 Å³/f.u.
Distance to the lowest polymorph of the same formula: 64.3 meV/atom

a b c (Å): 5.394 5.394 5.394
angles (deg): 60.00 60.00 60.00
Positions (direct):
Lu  0.000  0.000  0.000
Pu  0.750  0.750  0.750
Pu  0.250  0.250  0.250
Ce  0.500  0.500  0.500


8.
A plane-wave DFT calculation with PBE was carried out for a geometry-optimized LiP2Os structure.

Computed properties:
Total magnetic moment: 0.0 μB/f.u.
E_form: 0.0508 eV/atom
SG: C2/m (12)
Calculated density: 8.4 Mg/m³
Calculated volume: 51.2 Å³/f.u.
Distance to the lowest polymorph of the same formula: 292.3 meV/atom

a b c (Å): 5.891 4.205 3.001
angles (deg): 89.53 60.16 121.53
Positions (direct):
Os  0.500  0.500  0.000
P  0.000  0.000  0.000
P  0.500  0.000  0.500
Li  0.000  0.500  0.500


9.
A plane-wave DFT calculation with PBE was carried out for a geometry-optimized La5Si2Hg2 structure.

Computed properties:
Energy relative to the elements, uncorrected: -0.568 eV per atom
Total magnetic moment: 0.0 μB/f.u.
SG: Cmce (64)
Calculated density: 7.2 Mg/m³
Calculated volume: 265.6 Å³/f.u.

a b c (Å): 7.956 7.973 9.272
angles (deg): 90.00 64.60 90.00
Positions (direct):
Hg  0.281  0.500  0.438
Hg  0.219  0.000  0.562
Hg  0.781  0.000  0.438
Hg  0.719  0.500  0.562
La  0.059  0.679  0.254
La  0.500  0.500  0.000
La  0.000  0.000  0.000
La  0.559  0.821  0.254
La  0.687  0.321  0.254
La  0.313  0.679  0.746
La  0.441  0.179  0.746
La  0.941  0.321  0.746
La  0.187  0.179  0.254
La  0.813  0.821  0.746
Si  0.610  0.112  0.000
Si  0.110  0.388  0.000
Si  0.890  0.612  0.000
Si  0.390  0.888  0.000


10.
A plane-wave DFT calculation with PBE was carried out for a geometry-optimized BaSrAl2 structure.

Computed properties:
Total magnetic moment: 0.0 μB/f.u.
E_form: -0.0640 eV/atom
SG: C2/m (12)
Calculated density: 2.8 Mg/m³
Calculated volume: 165.7 Å³/f.u.
Distance to the lowest polymorph of the same formula: 129.3 meV/atom

a b c (Å): 6.265 6.265 8.084
angles (deg): 53.86 53.86 42.42
Positions (direct):
Al  0.503  0.503  0.330
Al  0.997  0.997  0.170
Ba  0.750  0.750  0.750
Sr  0.250  0.250  0.250


11.
A plane-wave DFT calculation with PBE was carried out for a geometry-optimized AsRu2W structure.

Computed properties:
Total magnetic moment: 0.0 μB/f.u.
E_form: 0.0913 eV/atom
SG: P4mm (99)
Calculated density: 13.0 Mg/m³
Calculated volume: 58.8 Å³/f.u.

a b c (Å): 2.945 2.945 6.774
angles (deg): 90.00 90.00 90.00
Positions (direct):
Ru  0.500  0.500  0.255
Ru  0.000  0.000  0.974
As  0.500  0.500  0.765
W  0.000  0.000  0.505


12.
A plane-wave DFT calculation with PBE was carried out for a geometry-optimized Hg2TeBr structure.

Computed properties:
Energy relative to the elements, uncorrected: -0.135 eV per atom
Total magnetic moment: 0.0 μB/f.u.
SG: I-42d (122)
Calculated density: 6.3 Mg/m³
Calculated volume: 159.4 Å³/f.u.
Distance to the lowest polymorph of the same formula: 121.4 meV/atom

a b c (Å): 6.591 6.591 8.693
angles (deg): 67.72 67.72 90.00
Positions (direct):
Hg  0.651  0.125  0.250
Hg  0.875  0.901  0.750
Hg  0.099  0.625  0.250
Hg  0.375  0.349  0.750
Te  0.000  0.000  0.000
Te  0.750  0.250  0.500
Br  0.250  0.750  0.500
Br  0.500  0.500  0.000